1.
Computed, not measured: a relaxed structure of BaHgI2O at the GGA-PBE level of DFT.

Lattice parameters (Å, degrees): 7.0568 7.0568 4.5263 90.00 90.00 90.00
Element x y z (fractional)
Ba: 0.0000 0.0000 0.0000
Hg: 0.5000 0.5000 0.5000
I: 0.0000 0.5000 0.0000
I: 0.5000 0.0000 0.0000
O: 0.0000 0.0000 0.5000

## Properties
Total energy: -2.685 eV/atom
Energy above the most stable polymorph in this dataset: 175 meV/atom
ΔE_f (raw): -0.629 eV per atom
Space group: P4/mmm (123)
Density of states at the Fermi level: 6.781 states/eV/f.u.
Size of the total moment: 0.92 μB per formula unit

---

2.
Computed, not measured: a relaxed structure of Ba6HgP2I3 at the GGA-PBE level of DFT.

Lattice parameters (Å, degrees): 11.2261 11.2261 10.2648 105.71 105.71 24.54
Element x y z (fractional)
Ba: 0.0168 0.0168 0.2464
Ba: 0.3215 0.3215 0.4454
Ba: 0.3359 0.3359 0.8774
Ba: 0.6641 0.6641 0.1226
Ba: 0.6785 0.6785 0.5546
Ba: 0.9832 0.9832 0.7536
Hg: 0.5000 0.5000 0.0000
P: 0.1689 0.1689 0.3378
P: 0.8311 0.8311 0.6622
I: 0.1651 0.1651 0.8302
I: 0.5000 0.5000 0.5000
I: 0.8349 0.8349 0.1698

## Properties
Total energy: -3.499 eV/atom
ΔE_f (raw): -1.224 eV per atom
Space group: C2/m (12)
Density of states at the Fermi level: 4.499 states/eV/f.u.
Size of the total moment: 2.12 μB per formula unit

---

3.
Computed, not measured: a relaxed structure of Ba6Hg2PI3 at the GGA-PBE level of DFT.

Lattice parameters (Å, degrees): 8.3794 8.3794 9.1711 98.75 98.75 119.94
Element x y z (fractional)
Ba: 0.0714 0.3822 0.2137
Ba: 0.2386 0.2386 0.7846
Ba: 0.3822 0.0714 0.2137
Ba: 0.6178 0.9286 0.7863
Ba: 0.7614 0.7614 0.2154
Ba: 0.9286 0.6178 0.7863
Hg: 0.3337 0.6663 0.0000
Hg: 0.6663 0.3337 0.0000
P: 0.0000 0.0000 0.0000
I: 0.1672 0.8328 0.5000
I: 0.5000 0.5000 0.5000
I: 0.8328 0.1672 0.5000

## Properties
Total energy: -2.897 eV/atom
ΔE_f (raw): -1.047 eV per atom
Space group: C2/m (12)
Density of states at the Fermi level: 8.218 states/eV/f.u.
Size of the total moment: 0.00 μB per formula unit

---

4.
Computed, not measured: a relaxed structure of Ba4HgPI2 at the GGA-PBE level of DFT.

Lattice parameters (Å, degrees): 8.6271 4.7719 8.9048 90.00 107.49 90.00
Element x y z (fractional)
Ba: 0.2192 0.0000 0.2035
Ba: 0.2435 0.5000 0.7851
Ba: 0.7565 0.5000 0.2149
Ba: 0.7808 0.0000 0.7965
Hg: 0.5000 0.0000 0.0000
P: 0.0000 0.5000 0.0000
I: 0.0000 0.0000 0.5000
I: 0.5000 0.5000 0.5000

## Properties
Total energy: -3.181 eV/atom
ΔE_f (raw): -1.118 eV per atom
Space group: P2/m (10)
Density of states at the Fermi level: 4.281 states/eV/f.u.
Size of the total moment: 1.98 μB per formula unit

---

5.
Computed, not measured: a relaxed structure of Ba2HgPdI at the GGA-PBE level of DFT.

Lattice parameters (Å, degrees): 6.1558 6.1558 5.3131 90.00 90.00 90.00
Element x y z (fractional)
Ba: 0.0000 0.5000 0.0000
Ba: 0.5000 0.0000 0.0000
Hg: 0.0000 0.0000 0.5000
Pd: 0.0000 0.0000 0.0000
I: 0.5000 0.5000 0.5000

## Properties
Total energy: -2.931 eV/atom
ΔE_f (raw): -0.753 eV per atom
Space group: P4/mmm (123)
Density of states at the Fermi level: 3.083 states/eV/f.u.
Size of the total moment: 0.00 μB per formula unit

---

6.
Computed, not measured: a relaxed structure of Ba6HgPt2I3 at the GGA-PBE level of DFT.

Lattice parameters (Å, degrees): 11.3683 11.3683 10.3686 109.80 109.80 23.85
Element x y z (fractional)
Ba: 0.0165 0.0165 0.2449
Ba: 0.3205 0.3205 0.4477
Ba: 0.3356 0.3356 0.8799
Ba: 0.6644 0.6644 0.1201
Ba: 0.6795 0.6795 0.5523
Ba: 0.9835 0.9835 0.7551
Hg: 0.5000 0.5000 0.0000
Pt: 0.1679 0.1679 0.3334
Pt: 0.8321 0.8321 0.6666
I: 0.1640 0.1640 0.8280
I: 0.5000 0.5000 0.5000
I: 0.8360 0.8360 0.1720

## Properties
Total energy: -3.448 eV/atom
ΔE_f (raw): -1.068 eV per atom
Space group: C2/m (12)
Density of states at the Fermi level: 8.824 states/eV/f.u.
Size of the total moment: 0.00 μB per formula unit

---

7.
Computed, not measured: a relaxed structure of Ba4HgPtI2 at the GGA-PBE level of DFT.

Lattice parameters (Å, degrees): 8.2978 4.7344 9.2516 90.00 107.36 90.00
Element x y z (fractional)
Ba: 0.2191 0.0000 0.2033
Ba: 0.2428 0.5000 0.7898
Ba: 0.7572 0.5000 0.2102
Ba: 0.7809 0.0000 0.7967
Hg: 0.5000 0.0000 0.0000
Pt: 0.0000 0.5000 0.0000
I: 0.0000 0.0000 0.5000
I: 0.5000 0.5000 0.5000

## Properties
Total energy: -3.168 eV/atom
ΔE_f (raw): -1.026 eV per atom
Space group: P2/m (10)
Density of states at the Fermi level: 4.229 states/eV/f.u.
Size of the total moment: 0.00 μB per formula unit

---

8.
Computed, not measured: a relaxed structure of Ba8HgPt3I4 at the GGA-PBE level of DFT.

Lattice parameters (Å, degrees): 10.3018 10.3018 10.3018 54.23 54.23 54.23
Element x y z (fractional)
Ba: 0.2196 0.7424 0.7424
Ba: 0.2328 0.2328 0.2328
Ba: 0.2576 0.2576 0.7804
Ba: 0.2576 0.7804 0.2576
Ba: 0.7424 0.2196 0.7424
Ba: 0.7424 0.7424 0.2196
Ba: 0.7672 0.7672 0.7672
Ba: 0.7804 0.2576 0.2576
Hg: 0.5000 0.5000 0.5000
Pt: 0.0000 0.0000 0.5000
Pt: 0.0000 0.5000 0.0000
Pt: 0.5000 0.0000 0.0000
I: 0.0000 0.0000 0.0000
I: 0.0000 0.5000 0.5000
I: 0.5000 0.0000 0.5000
I: 0.5000 0.5000 0.0000

## Properties
Total energy: -3.584 eV/atom
ΔE_f (raw): -1.084 eV per atom
Space group: R-3m (166)
Density of states at the Fermi level: 11.501 states/eV/f.u.
Size of the total moment: 0.00 μB per formula unit

---

9.
Computed, not measured: a relaxed structure of Ba6Hg2PtI3 at the GGA-PBE level of DFT.

Lattice parameters (Å, degrees): 8.3038 8.3038 9.3054 98.57 98.57 119.98
Element x y z (fractional)
Ba: 0.0707 0.3805 0.2122
Ba: 0.2384 0.2384 0.7875
Ba: 0.3805 0.0707 0.2122
Ba: 0.6195 0.9293 0.7878
Ba: 0.7616 0.7616 0.2125
Ba: 0.9293 0.6195 0.7878
Hg: 0.3335 0.6665 0.0000
Hg: 0.6665 0.3335 0.0000
Pt: 0.0000 0.0000 0.0000
I: 0.1685 0.8315 0.5000
I: 0.5000 0.5000 0.5000
I: 0.8315 0.1685 0.5000

## Properties
Total energy: -2.898 eV/atom
ΔE_f (raw): -0.995 eV per atom
Space group: C2/m (12)
Density of states at the Fermi level: 7.258 states/eV/f.u.
Size of the total moment: 0.01 μB per formula unit

---

10.
Computed, not measured: a relaxed structure of Ba4HgRhI2 at the GGA-PBE level of DFT.

Lattice parameters (Å, degrees): 8.2702 4.6845 9.1953 90.00 106.73 90.00
Element x y z (fractional)
Ba: 0.2145 0.0000 0.2032
Ba: 0.2356 0.5000 0.7884
Ba: 0.7644 0.5000 0.2116
Ba: 0.7855 0.0000 0.7968
Hg: 0.5000 0.0000 0.0000
Rh: 0.0000 0.5000 0.0000
I: 0.0000 0.0000 0.5000
I: 0.5000 0.5000 0.5000

## Properties
Total energy: -3.158 eV/atom
ΔE_f (raw): -0.852 eV per atom
Space group: P2/m (10)
Density of states at the Fermi level: 6.453 states/eV/f.u.
Size of the total moment: 0.00 μB per formula unit

---

11.
Computed, not measured: a relaxed structure of BaHgSb2I at the GGA-PBE level of DFT.

Lattice parameters (Å, degrees): 5.5163 5.5163 6.7327 90.00 90.00 90.00
Element x y z (fractional)
Ba: 0.0000 0.0000 0.0000
Hg: 0.5000 0.5000 0.5000
Sb: 0.0000 0.5000 0.5000
Sb: 0.5000 0.0000 0.5000
I: 0.5000 0.5000 0.0000

## Properties
Total energy: -2.613 eV/atom
Energy above the most stable polymorph in this dataset: 0 meV/atom
ΔE_f (raw): -0.209 eV per atom
Space group: P4/mmm (123)
Density of states at the Fermi level: 5.731 states/eV/f.u.
Size of the total moment: 0.52 μB per formula unit

---

12.
Computed, not measured: a relaxed structure of BaHgSb2I at the GGA-PBE level of DFT.

Lattice parameters (Å, degrees): 7.1693 7.1693 6.6788 90.00 90.00 90.00
Element x y z (fractional)
Ba: 0.0000 0.0000 0.0000
Hg: 0.5000 0.5000 0.5000
Sb: 0.0000 0.5000 0.0000
Sb: 0.5000 0.0000 0.0000
I: 0.0000 0.0000 0.5000

## Properties
Total energy: -2.141 eV/atom
Energy above the most stable polymorph in this dataset: 472 meV/atom
ΔE_f (raw): 0.263 eV per atom
Space group: P4/mmm (123)
Density of states at the Fermi level: 1.470 states/eV/f.u.
Size of the total moment: 5.04 μB per formula unit

---

13.
Computed, not measured: a relaxed structure of BaHgSbI6 at the GGA-PBE level of DFT.

Lattice parameters (Å, degrees): 8.1660 8.1660 7.3561 90.09 90.09 120.16
Element x y z (fractional)
Ba: 0.0000 0.0000 0.0000
Hg: 0.6657 0.3343 0.5000
Sb: 0.3330 0.6670 0.0000
I: 0.0223 0.3738 0.2458
I: 0.0218 0.6488 0.7527
I: 0.3498 0.3740 0.7531
I: 0.3512 0.9782 0.2473
I: 0.6260 0.6502 0.2469
I: 0.6262 0.9777 0.7542

## Properties
Total energy: -2.441 eV/atom
ΔE_f (raw): -0.703 eV per atom
Space group: C2 (5)
Density of states at the Fermi level: 3.718 states/eV/f.u.
Size of the total moment: 0.00 μB per formula unit

---

14.
Computed, not measured: a relaxed structure of Ba6HgSe2I3 at the GGA-PBE level of DFT.

Lattice parameters (Å, degrees): 8.4231 8.4231 8.7560 99.22 99.22 119.90
Element x y z (fractional)
Ba: 0.0877 0.4281 0.7836
Ba: 0.2312 0.2312 0.2159
Ba: 0.4281 0.0877 0.7836
Ba: 0.5719 0.9123 0.2164
Ba: 0.7688 0.7688 0.7841
Ba: 0.9123 0.5719 0.2164
Hg: 0.5000 0.5000 0.0000
Se: 0.1666 0.8334 0.0000
Se: 0.8334 0.1666 0.0000
I: 0.0000 0.0000 0.5000
I: 0.3327 0.6673 0.5000
I: 0.6673 0.3327 0.5000

## Properties
Total energy: -3.377 eV/atom
ΔE_f (raw): -1.422 eV per atom
Space group: C2/m (12)
Density of states at the Fermi level: 8.266 states/eV/f.u.
Size of the total moment: 1.88 μB per formula unit

---

15.
Computed, not measured: a relaxed structure of Ba4HgSeI2 at the GGA-PBE level of DFT.

Lattice parameters (Å, degrees): 8.6076 4.7782 8.9170 90.00 107.77 90.00
Element x y z (fractional)
Ba: 0.2317 0.0000 0.2131
Ba: 0.2585 0.5000 0.7812
Ba: 0.7415 0.5000 0.2188
Ba: 0.7683 0.0000 0.7869
Hg: 0.5000 0.0000 0.0000
Se: 0.0000 0.5000 0.0000
I: 0.0000 0.0000 0.5000
I: 0.5000 0.5000 0.5000

## Properties
Total energy: -3.106 eV/atom
ΔE_f (raw): -1.284 eV per atom
Space group: P2/m (10)
Density of states at the Fermi level: 6.941 states/eV/f.u.
Size of the total moment: 1.06 μB per formula unit

---

16.
Computed, not measured: a relaxed structure of Ba6HgTe3I2 at the GGA-PBE level of DFT.

Lattice parameters (Å, degrees): 8.7020 8.7020 8.6547 99.60 99.60 119.86
Element x y z (fractional)
Ba: 0.0864 0.4075 0.7592
Ba: 0.2321 0.2321 0.2358
Ba: 0.4075 0.0864 0.7592
Ba: 0.5925 0.9136 0.2408
Ba: 0.7679 0.7679 0.7642
Ba: 0.9136 0.5925 0.2408
Hg: 0.0000 0.0000 0.5000
Te: 0.1735 0.8265 0.0000
Te: 0.5000 0.5000 0.0000
Te: 0.8265 0.1735 0.0000
I: 0.3350 0.6650 0.5000
I: 0.6650 0.3350 0.5000

## Properties
Total energy: -3.441 eV/atom
ΔE_f (raw): -1.410 eV per atom
Space group: C2/m (12)
Density of states at the Fermi level: 5.446 states/eV/f.u.
Size of the total moment: 2.51 μB per formula unit

---

17.
Computed, not measured: a relaxed structure of BaHgTeI2 at the GGA-PBE level of DFT.

Lattice parameters (Å, degrees): 5.9305 5.9305 5.8310 90.00 90.00 90.00
Element x y z (fractional)
Ba: 0.0000 0.0000 0.0000
Hg: 0.5000 0.5000 0.5000
Te: 0.5000 0.5000 0.0000
I: 0.0000 0.5000 0.5000
I: 0.5000 0.0000 0.5000

## Properties
Total energy: -2.413 eV/atom
Energy above the most stable polymorph in this dataset: 0 meV/atom
ΔE_f (raw): -0.719 eV per atom
Space group: P4/mmm (123)
Density of states at the Fermi level: 2.321 states/eV/f.u.
Size of the total moment: 0.00 μB per formula unit

---

18.
Computed, not measured: a relaxed structure of Ba6HgTe2I3 at the GGA-PBE level of DFT.

Lattice parameters (Å, degrees): 8.7058 8.7058 8.7343 99.56 99.56 119.88
Element x y z (fractional)
Ba: 0.0751 0.4016 0.2260
Ba: 0.2495 0.2495 0.7687
Ba: 0.4016 0.0751 0.2260
Ba: 0.5984 0.9249 0.7740
Ba: 0.7505 0.7505 0.2313
Ba: 0.9249 0.5984 0.7740
Hg: 0.0000 0.0000 0.0000
Te: 0.3345 0.6655 0.0000
Te: 0.6655 0.3345 0.0000
I: 0.1744 0.8256 0.5000
I: 0.5000 0.5000 0.5000
I: 0.8256 0.1744 0.5000

## Properties
Total energy: -3.236 eV/atom
ΔE_f (raw): -1.339 eV per atom
Space group: C2/m (12)
Density of states at the Fermi level: 8.042 states/eV/f.u.
Size of the total moment: 1.79 μB per formula unit

---

19.
Computed, not measured: a relaxed structure of BaHgTeI2 at the GGA-PBE level of DFT.

Lattice parameters (Å, degrees): 6.7407 6.7407 7.2093 90.00 90.00 90.00
Element x y z (fractional)
Ba: 0.0000 0.0000 0.0000
Hg: 0.5000 0.5000 0.5000
Te: 0.0000 0.0000 0.5000
I: 0.0000 0.5000 0.0000
I: 0.5000 0.0000 0.0000

## Properties
Total energy: -2.211 eV/atom
Energy above the most stable polymorph in this dataset: 202 meV/atom
ΔE_f (raw): -0.518 eV per atom
Space group: P4/mmm (123)
Density of states at the Fermi level: 3.687 states/eV/f.u.
Size of the total moment: 1.97 μB per formula unit

---

20.
Computed, not measured: a relaxed structure of BaTiHgI6 at the GGA-PBE level of DFT.

Lattice parameters (Å, degrees): 8.2949 8.2949 8.1479 90.03 90.03 120.13
Element x y z (fractional)
Ba: 0.0000 0.0000 0.0000
Ti: 0.6672 0.3328 0.0000
Hg: 0.3337 0.6663 0.5000
I: 0.3945 0.0634 0.7978
I: 0.3958 0.3297 0.2028
I: 0.6703 0.6042 0.7972
I: 0.6707 0.0647 0.2029
I: 0.9353 0.3293 0.7971
I: 0.9366 0.6055 0.2022

## Properties
Total energy: -3.085 eV/atom
ΔE_f (raw): -0.927 eV per atom
Space group: C2 (5)
Size of the total moment: 0.00 μB per formula unit